(1)
Material: ZrCr2CdOs
Method: DFT, GGA-PBE
State: optimized geometry

Cell lengths 4.717, 4.717, 5.075 Å; angles 90.00, 90.00, 90.00 degrees
Space group P4/mmm (No. 123)
Unique sites:
Zr: 0.000 0.000 0.000 x1
Cr: 0.000 0.500 0.500 x2
Cd: 0.500 0.500 0.000 x1
Os: 0.000 0.000 0.500 x1

For the formation energy, the calculation gives 0.86 eV per atom.

---

(2)
Material: Dy7HoHg2
Method: DFT, GGA-PBE
State: optimized geometry

Cell lengths 9.056, 15.421, 5.223 Å; angles 90.00, 90.00, 90.00 degrees
Space group Cmmm (No. 65)
Unique sites:
Dy: 0.000 0.000 0.000 x2
Dy: 0.000 0.268 0.500 x4
Dy: 0.182 0.380 0.000 x8
Ho: 0.000 0.500 0.500 x2
Hg: 0.000 0.193 0.000 x4

For the formation energy, the calculation gives 0.29 eV per atom.